# 1
VASP calculation (GGA-PBE) on an optimized crystal structure of KNiMo2.

DFT formation energy: 1214.2 meV per atom

Cell lengths 5.794, 5.794, 5.794 Å; angles 150.45, 121.58, 66.82 degrees
Each line ends with the local moment (μB).
Fractional coordinates of all 4 atoms:
K 0.254 0.754 0.500  0.01
Mo 0.951 0.951 0.000  -0.06
Mo 0.755 0.255 0.500  0.25
Ni 0.540 0.540 0.000  0.03

=====

# 2
VASP calculation (GGA-PBE) on an optimized crystal structure of NdCo2Sn3.

DFT formation energy: -70.7 meV per atom

Cell lengths 5.975, 7.083, 7.083 Å; angles 120.00, 90.00, 90.00 degrees
Fractional coordinates of all 12 atoms:
Nd 0.303 0.667 0.333
Nd 0.697 0.333 0.667
Co 0.000 0.000 0.000
Co 0.000 0.500 0.500
Co 0.000 0.500 0.000
Co 0.000 0.000 0.500
Sn 0.737 0.327 0.163
Sn 0.737 0.837 0.673
Sn 0.737 0.837 0.163
Sn 0.263 0.163 0.837
Sn 0.263 0.673 0.837
Sn 0.263 0.163 0.327

=====

# 3
VASP calculation (GGA-PBE) on an optimized crystal structure of Dy6HgRu.

DFT formation energy: -146.5 meV per atom

Cell lengths 5.073, 5.073, 9.261 Å; angles 74.10, 74.07, 90.00 degrees
Fractional coordinates of all 8 atoms:
Dy 0.752 0.752 0.496
Dy 0.600 0.100 0.799
Dy 0.101 0.600 0.799
Dy 0.400 0.900 0.201
Dy 0.248 0.248 0.504
Dy 0.899 0.400 0.201
Hg 0.500 0.500 0.000
Ru 0.000 0.000 0.000

=====

# 4
VASP calculation (GGA-PBE) on an optimized crystal structure of Ho2Ga2Pd.

DFT formation energy: -769.6 meV per atom

Cell lengths 4.325, 5.720, 9.602 Å; angles 82.23, 76.98, 67.79 degrees
Fractional coordinates of all 10 atoms:
Ho 0.313 0.260 0.115
Ho 0.508 0.312 0.672
Ho 0.687 0.740 0.885
Ho 0.492 0.688 0.328
Ga 0.974 0.163 0.889
Ga 0.140 0.276 0.443
Ga 0.026 0.837 0.111
Ga 0.860 0.724 0.557
Pd 0.776 0.106 0.342
Pd 0.224 0.894 0.658

=====

# 5
VASP calculation (GGA-PBE) on an optimized crystal structure of TaCu2SbPb.

E_form (uncorrected): 0.805 eV per atom

Cell lengths 4.935, 5.295, 4.935 Å; angles 90.00, 90.00, 90.00 degrees
Fractional coordinates of all 5 atoms:
Pb 0.500 0.500 0.500
Sb 0.000 0.500 0.000
Cu 0.000 0.000 0.500
Cu 0.500 0.000 0.000
Ta 0.000 0.000 0.000

=====

# 6
VASP calculation (GGA-PBE) on an optimized crystal structure of TlOsPbO4.

E_form (uncorrected): -0.831 eV per atom

Cell lengths 8.252, 5.831, 7.025 Å; angles 90.00, 92.56, 90.00 degrees
Each line ends with the local moment (μB).
Fractional coordinates of all 14 atoms:
Tl 0.648 0.750 0.874  0.00
Tl 0.352 0.250 0.126  0.00
Os 0.307 0.750 0.380  0.58
Os 0.693 0.250 0.620  0.58
Pb 0.876 0.750 0.384  0.00
Pb 0.124 0.250 0.616  0.00
O 0.876 0.460 0.621  0.03
O 0.124 0.960 0.379  0.03
O 0.124 0.540 0.379  0.03
O 0.876 0.040 0.621  0.03
O 0.419 0.750 0.169  0.12
O 0.581 0.250 0.831  0.12
O 0.424 0.750 0.597  0.14
O 0.576 0.250 0.403  0.14

=====

# 7
VASP calculation (GGA-PBE) on an optimized crystal structure of BIrPt.

DFT formation energy: 65.1 meV per atom

Cell lengths 4.311, 3.265, 3.265 Å; angles 120.00, 90.00, 90.00 degrees
Fractional coordinates of all 3 atoms:
B 0.319 0.667 0.333
Ir 0.095 0.000 0.000
Pt 0.586 0.333 0.667

=====

# 8
VASP calculation (GGA-PBE) on an optimized crystal structure of SrCr2Re.

DFT formation energy: 1226.7 meV per atom

Cell lengths 3.346, 4.941, 4.529 Å; angles 90.00, 90.00, 90.00 degrees
Each line ends with the local moment (μB).
Fractional coordinates of all 4 atoms:
Cr 0.000 0.000 0.000  -2.71
Cr 0.500 0.500 0.000  3.46
Re 0.500 0.000 0.500  1.19
Sr 0.000 0.500 0.500  0.12

=====

# 9
VASP calculation (GGA-PBE) on an optimized crystal structure of SrScMo.

DFT formation energy: 1786.6 meV per atom

Cell lengths 5.051, 5.051, 5.051 Å; angles 60.00, 60.00, 60.00 degrees
Each line ends with the local moment (μB).
Fractional coordinates of all 3 atoms:
Mo 0.000 0.000 0.000  2.41
Sc 0.500 0.500 0.500  -0.33
Sr 0.250 0.250 0.250  0.07

=====

# 10
VASP calculation (GGA-PBE) on an optimized crystal structure of NaCe2Si2Pt7.

E_form (uncorrected): -0.833 eV per atom

Cell lengths 4.078, 4.078, 13.486 Å; angles 83.92, 83.92, 89.29 degrees
Each line ends with the local moment (μB).
Fractional coordinates of all 12 atoms:
Na 0.000 0.000 0.000  0.00
Ce 0.889 0.889 0.346  0.53
Ce 0.111 0.111 0.654  0.53
Si 0.587 0.587 0.753  0.00
Si 0.413 0.413 0.247  0.00
Pt 0.500 0.500 0.000  -0.01
Pt 0.376 0.376 0.424  -0.02
Pt 0.624 0.624 0.576  -0.02
Pt 0.946 0.447 0.155  0.00
Pt 0.447 0.946 0.155  0.00
Pt 0.553 0.054 0.845  0.00
Pt 0.054 0.553 0.845  0.00

=====

# 11
VASP calculation (GGA-PBE) on an optimized crystal structure of CsTmSnBr6.

E_form (uncorrected): -1.524 eV per atom

Cell lengths 7.592, 7.592, 7.968 Å; angles 90.00, 90.00, 60.00 degrees
Fractional coordinates of all 9 atoms:
Cs 0.000 0.000 0.000
Tm 0.333 0.333 0.500
Sn 0.667 0.667 0.500
Br 0.022 0.364 0.295
Br 0.364 0.022 0.705
Br 0.614 0.364 0.705
Br 0.022 0.614 0.705
Br 0.364 0.614 0.295
Br 0.614 0.022 0.295

=====

It is found that the DOS(E_F) values, taken in the order of the records, are 3.54 9.04 10.52 8.52 2.86 0.02 3.19 2.94 4.05 13.06 0.00 states/eV/cell.